--- 1 ---
# PBE Tm2SiSn, relaxed
# Total magnetization = 0.00 μB/cell
# V = 23.70 Å³/atom
data_Tm2SiSn
_chemical_formula_sum 'Tm4 Si2 Sn2'
_symmetry_space_group_name_H-M 'P 1'
_symmetry_Int_Tables_number 1
_cell_length_a 3.998
_cell_length_b 5.899
_cell_length_c 8.705
_cell_angle_alpha 112.58
_cell_angle_beta 90.00
_cell_angle_gamma 90.00
loop_
_symmetry_equiv_pos_as_xyz
'x,y,z'
loop_
_atom_site_label
_atom_site_fract_x
_atom_site_fract_y
_atom_site_fract_z
Tm1 0.750 0.215 0.442
Tm2 0.250 0.785 0.558
Tm3 0.250 0.767 0.082
Tm4 0.750 0.233 0.918
Si1 0.750 0.680 0.295
Si2 0.250 0.320 0.705
Sn1 0.250 0.324 0.208
Sn2 0.750 0.676 0.792


--- 2 ---
# PBE Tm2SiSn, relaxed
# Total magnetization = 0.00 μB/cell
# V = 32.06 Å³/atom
data_Tm2SiSn
_chemical_formula_sum 'Tm2 Si1 Sn1'
_symmetry_space_group_name_H-M 'P 1'
_symmetry_Int_Tables_number 1
_cell_length_a 4.003
_cell_length_b 4.003
_cell_length_c 9.525
_cell_angle_alpha 77.87
_cell_angle_beta 77.87
_cell_angle_gamma 60.00
loop_
_symmetry_equiv_pos_as_xyz
'x,y,z'
loop_
_atom_site_label
_atom_site_fract_x
_atom_site_fract_y
_atom_site_fract_z
Si1 0.500 0.500 0.500
Tm1 0.112 0.112 0.665
Tm2 0.888 0.888 0.335
Sn1 0.000 0.000 0.000


Compare the structures above. Which one is the most stable? 1 is.